CaAgSnGe: optimized geometry, GGA-PBE.

abc: 5.0873 5.0873 5.0873
angles: 60.00 60.00 60.00
Last column: nearest neighbours and their distance in Å.
Fractional positions:
Ag: 0.7500 0.7500 0.7500  4 Sn 3.12, 4 Ca 3.12
Sn: 0.5000 0.5000 0.5000  4 Ag 3.12, 4 Ge 3.12
Ge: 0.2500 0.2500 0.2500  4 Sn 3.12, 4 Ca 3.12
Ca: 0.0000 0.0000 0.0000  4 Ge 3.12, 4 Ag 3.12

space-group type: F-43m
formation energy: -0.19 eV per atom
magnetization: 0.00 μB/f.u.
calculated total energy: -3.56 eV/atom

---

SrCa2Ag2Ge2: optimized geometry, GGA-PBE.

abc: 4.7260 4.7260 9.7600
angles: 75.99 75.99 60.00
Last column: nearest neighbours and their distance in Å.
Fractional positions:
Sr: 0.0000 0.0000 0.0000  6 Ag 3.45, 6 Ge 3.58, 2 Ca 3.60
Ag: 0.5913 0.5913 0.2261  3 Ge 2.74
Ca: 0.8720 0.8720 0.3841  3 Ge 3.01, 3 Ag 3.10
Ge: 0.7491 0.7491 0.7526  3 Ag 2.74, 3 Ca 3.01
Ca: 0.1280 0.1280 0.6159  3 Ge 3.01, 3 Ag 3.10
Ge: 0.2509 0.2509 0.2474  3 Ag 2.74, 3 Ca 3.01
Ag: 0.4087 0.4087 0.7739  3 Ge 2.74

space-group type: R-3m
formation energy: -0.46 eV per atom
magnetization: 0.00 μB/f.u.
calculated total energy: -3.41 eV/atom

---

CaTaAg2Ge: optimized geometry, GGA-PBE.

abc: 5.1995 4.9693 5.1995
angles: 90.00 90.00 90.00
Last column: nearest neighbours and their distance in Å.
Fractional positions:
Ta: 0.0000 0.0000 0.0000  2 Ge 2.48, 4 Ag 2.60
Ag: 0.5000 0.0000 0.0000  2 Ta 2.60
Ag: 0.0000 0.0000 0.5000  2 Ta 2.60
Ca: 0.5000 0.5000 0.5000  8 Ag 3.60, 4 Ge 3.68
Ge: 0.0000 0.5000 0.0000  2 Ta 2.48

space-group type: P4/mmm
formation energy: 0.48 eV per atom
magnetization: 0.00 μB/f.u.
calculated total energy: -4.35 eV/atom

---

CaTbAgGe: optimized geometry, GGA-PBE.

abc: 5.1288 5.1288 5.1288
angles: 60.00 60.00 60.00
Last column: nearest neighbours and their distance in Å.
Fractional positions:
Ge: 0.2500 0.2500 0.2500  4 Tb 3.14, 4 Ca 3.14
Ca: 0.0000 0.0000 0.0000  4 Ag 3.14, 4 Ge 3.14
Ag: 0.7500 0.7500 0.7500  4 Ca 3.14, 4 Tb 3.14
Tb: 0.5000 0.5000 0.5000  4 Ge 3.14, 4 Ag 3.14

space-group type: F-43m
formation energy: -0.53 eV per atom
magnetization: 0.00 μB/f.u.
calculated total energy: -4.06 eV/atom

---

CaThAgGe: optimized geometry, GGA-PBE.

abc: 5.2123 5.2123 5.2123
angles: 60.00 60.00 60.00
Last column: nearest neighbours and their distance in Å.
Fractional positions:
Th: 0.5000 0.5000 0.5000  4 Ag 3.19, 4 Ge 3.19
Ca: 0.0000 0.0000 0.0000  4 Ge 3.19, 4 Ag 3.19
Ag: 0.7500 0.7500 0.7500  4 Ca 3.19, 4 Th 3.19
Ge: 0.2500 0.2500 0.2500  4 Th 3.19, 4 Ca 3.19

space-group type: F-43m
formation energy: -0.35 eV per atom
magnetization: 0.00 μB/f.u.
calculated total energy: -4.58 eV/atom

---

CaTlAgGe: optimized geometry, GGA-PBE.

abc: 5.0779 5.0779 5.0779
angles: 60.00 60.00 60.00
Last column: nearest neighbours and their distance in Å.
Fractional positions:
Tl: 0.7500 0.7500 0.7500  4 Ca 3.11, 4 Ag 3.11
Ca: 0.0000 0.0000 0.0000  4 Tl 3.11, 4 Ge 3.11
Ag: 0.5000 0.5000 0.5000  4 Ge 3.11, 4 Tl 3.11
Ge: 0.2500 0.2500 0.2500  4 Ca 3.11, 4 Ag 3.11

space-group type: F-43m
formation energy: -0.17 eV per atom
magnetization: 0.00 μB/f.u.
calculated total energy: -3.13 eV/atom